The following is a PBE-GGA calculation of a geometry-optimized CoHgRu structure, from the Alexandria database.

The space group is P3m1 (No. 156) and the conventional cell measures 2.8205, 2.8205 and 6.6871 Å, with angles of 90.00, 90.00 and 120.00 degrees. Symmetry generates all atoms from Co at (0.0000, 0.0000, 0.0000), Hg at (0.6667, 0.3333, 0.3460) and Ru at (0.3333, 0.6667, 0.7181).

The formation energy is 47.4 kJ/mol of atoms. The total moment comes out at 0.507 μB/atom. The volume comes out at 15.36 Å³ per atom.